{"formula": "Ni3GeF", "functional": "PBE with a Hubbard U", "state": "optimized geometry", "cell": [[-0.334, -1.371, 3.850], [1.663, -3.574, -1.128], [3.733, 1.470, 0.847]], "species": ["F", "Ge", "Ni", "Ni", "Ni"], "fractional_positions": [[0.000, 0.000, 0.000], [0.500, 0.500, 0.500], [0.000, 0.000, 0.500], [0.500, 0.000, 0.000], [0.000, 0.500, 0.000]], "polymorph_energy_mev_per_atom": 0.0, "total_magnetization_mub_per_fu": 3.0, "energy_ev_per_atom": -2.68, "dos_ef_per_ev_cell": 1.3}